(1)
Density functional theory data (PBE) for NbCd2H2 after structural relaxation.

Computed properties:
Mass density, g cm⁻³: 7.2
Size of the total moment, μB/cell: 0.91
Total DFT energy (no corrections), eV/atom: -3.486

```
NbCd2H2
1.0
5.8594 0.0000 0.0000
0.0000 5.8594 0.0000
0.0000 0.0000 4.2744
H Cd Nb
4 4 2
Direct
0.7518 0.2518 0.0000
0.2518 0.2482 0.0000
0.7482 0.7518 0.0000
0.2482 0.7482 0.0000
0.7492 0.7508 0.5000
0.2492 0.7492 0.5000
0.7508 0.2508 0.5000
0.2508 0.2492 0.5000
0.5000 0.5000 0.0000
0.0000 0.0000 0.0000
```

=====

(2)
Density functional theory data (PBE) for Nb2CdH2 after structural relaxation.

Computed properties:
Mass density, g cm⁻³: 8.0
Size of the total moment, μB/cell: 0.00
Total DFT energy (no corrections), eV/atom: -5.629

```
Nb2CdH2
1.0
3.6720 0.0000 0.0000
0.0000 3.6720 0.0000
1.8360 1.8360 4.6439
Nb H Cd
2 2 1
Direct
0.3292 0.3292 0.3416
0.6708 0.6708 0.6584
0.7500 0.2500 0.5000
0.2500 0.7500 0.5000
0.0000 0.0000 0.0000
```

=====

(3)
Density functional theory data (PBE) for NbCdH2 after structural relaxation.

Computed properties:
Mass density, g cm⁻³: 7.7
Size of the total moment, μB/cell: 0.00
Total DFT energy (no corrections), eV/atom: -3.762
Excess energy over the best structure of this formula in the dataset, kJ/mol of formula units: 175.6

```
NbCdH2
1.0
-1.4488 -2.4108 -2.8200
-3.8841 0.0719 -0.8786
-1.2282 1.5119 -3.4741
H Cd Nb
2 1 1
Direct
0.2500 0.2500 0.2500
0.7500 0.7500 0.7500
0.5000 0.5000 0.5000
0.0000 0.0000 0.0000
```

=====

(4)
Density functional theory data (PBE) for NbCdH3 after structural relaxation.

Computed properties:
Mass density, g cm⁻³: 6.7
Size of the total moment, μB/cell: 0.00
Total DFT energy (no corrections), eV/atom: -4.035
Excess energy over the best structure of this formula in the dataset, kJ/mol of formula units: 0.0

```
NbCdH3
1.0
-2.9048 0.2238 -2.3158
-1.6347 -2.8322 1.7768
-1.6555 2.4040 2.3088
H Cd Nb
3 1 1
Direct
0.5000 0.0000 0.0000
0.0000 0.0000 0.5000
0.0000 0.5000 0.0000
0.5000 0.5000 0.5000
0.0000 0.0000 0.0000
```

=====

(5)
Density functional theory data (PBE) for Nb2CdHPt after structural relaxation.

Computed properties:
Mass density, g cm⁻³: 11.2
Size of the total moment, μB/cell: 0.00
Total DFT energy (no corrections), eV/atom: -6.225

```
Nb2CdHPt
1.0
-2.6405 -2.7552 1.7160
-0.9513 -1.4581 -3.8049
3.1116 -2.7987 0.2945
Nb Cd Pt H
2 1 1 1
Direct
0.5000 0.0000 0.0000
0.0000 0.5000 0.0000
0.5000 0.5000 0.5000
0.0000 0.0000 0.5000
0.0000 0.0000 0.0000
```

=====

(6)
Density functional theory data (PBE) for Nb2CdHRh after structural relaxation.

Computed properties:
Mass density, g cm⁻³: 9.3
Size of the total moment, μB/cell: 0.00
Total DFT energy (no corrections), eV/atom: -6.437

```
Nb2CdHRh
1.0
4.1514 0.0000 0.0000
0.0000 4.1514 0.0000
0.0000 0.0000 4.1657
Nb Rh Cd H
2 1 1 1
Direct
0.0000 0.5000 0.0000
0.5000 0.0000 0.0000
0.0000 0.0000 0.5000
0.5000 0.5000 0.5000
0.0000 0.0000 0.0000
```

=====

(7)
Density functional theory data (PBE) for Nb2CdHRu after structural relaxation.

Computed properties:
Mass density, g cm⁻³: 9.3
Size of the total moment, μB/cell: 0.00
Total DFT energy (no corrections), eV/atom: -6.724

```
Nb2CdHRu
1.0
4.1673 0.0000 0.0000
0.0000 4.1673 0.0000
0.0000 0.0000 4.1107
Nb Cd Ru H
2 1 1 1
Direct
0.0000 0.5000 0.0000
0.5000 0.0000 0.0000
0.5000 0.5000 0.5000
0.0000 0.0000 0.5000
0.0000 0.0000 0.0000
```

=====

(8)
Density functional theory data (PBE) for ScNb2CdH after structural relaxation.

Computed properties:
Mass density, g cm⁻³: 7.1
Size of the total moment, μB/cell: 0.00
Total DFT energy (no corrections), eV/atom: -6.232

```
ScNb2CdH
1.0
4.1274 0.0000 0.0000
0.0000 4.1274 0.0000
0.0000 0.0000 4.7165
Cd Nb Sc H
1 2 1 1
Direct
0.5000 0.5000 0.5000
0.0000 0.5000 0.0000
0.5000 0.0000 0.0000
0.0000 0.0000 0.5000
0.0000 0.0000 0.0000
```

=====

(9)
Density functional theory data (PBE) for TaNb2CdH after structural relaxation.

Computed properties:
Mass density, g cm⁻³: 10.5
Size of the total moment, μB/cell: 0.00
Total DFT energy (no corrections), eV/atom: -7.184

```
TaNb2CdH
1.0
-2.5032 -3.3342 -0.4623
-0.0214 -0.5604 4.1572
-3.4747 2.5632 0.3276
H Cd Ta Nb
1 1 1 2
Direct
0.0000 0.0000 0.0000
0.5000 0.5000 0.5000
0.0000 0.0000 0.5000
0.0000 0.5000 0.0000
0.5000 0.0000 0.0000
```

=====

(10)
Density functional theory data (PBE) for Ti2NbCdH after structural relaxation.

Computed properties:
Mass density, g cm⁻³: 6.8
Size of the total moment, μB/cell: 0.00
Total DFT energy (no corrections), eV/atom: -6.133

```
Ti2NbCdH
1.0
-0.5697 -1.1277 -4.0773
-3.0680 -2.7225 1.1817
-2.7512 2.9172 -0.4224
Ti Nb H Cd
2 1 1 1
Direct
0.5000 0.0000 0.0000
0.0000 0.5000 0.0000
0.0000 0.0000 0.5000
0.0000 0.0000 0.0000
0.5000 0.5000 0.5000
```

=====

(11)
Density functional theory data (PBE) for Nb2VCdH after structural relaxation.

Computed properties:
Mass density, g cm⁻³: 8.1
Size of the total moment, μB/cell: 0.00
Total DFT energy (no corrections), eV/atom: -6.618

```
Nb2VCdH
1.0
4.2631 0.0000 0.0000
0.0000 4.2631 0.0000
0.0000 0.0000 3.9517
Nb H V Cd
2 1 1 1
Direct
0.0000 0.5000 0.0000
0.5000 0.0000 0.0000
0.0000 0.0000 0.0000
0.0000 0.0000 0.5000
0.5000 0.5000 0.5000
```

=====

(12)
Density functional theory data (PBE) for ZrNb2CdH after structural relaxation.

Computed properties:
Mass density, g cm⁻³: 8.0
Size of the total moment, μB/cell: 0.00
Total DFT energy (no corrections), eV/atom: -6.647

```
ZrNb2CdH
1.0
-0.4905 -0.7323 -4.0939
4.0865 -0.8505 -0.3375
-0.8509 -4.4445 0.8969
Nb H Cd Zr
2 1 1 1
Direct
0.5000 0.0000 0.0000
0.0000 0.5000 0.0000
0.0000 0.0000 0.0000
0.5000 0.5000 0.5000
0.0000 0.0000 0.5000
```

=====

(13)
Density functional theory data (PBE) for NdCdH after structural relaxation.

Computed properties:
Mass density, g cm⁻³: 6.3
Size of the total moment, μB/cell: 0.00
Total DFT energy (no corrections), eV/atom: -3.224
Excess energy over the best structure of this formula in the dataset, kJ/mol of formula units: 7.4

```
NdCdH
1.0
-2.8470 5.3271 2.3376
-2.5905 -0.2403 -2.6074
-2.9188 -1.1644 5.6088
Nd H Cd
2 2 2
Direct
0.7464 0.8411 0.6822
0.2536 0.1589 0.3178
0.0491 0.6722 0.3445
0.9509 0.3278 0.6555
0.7824 0.1037 0.2074
0.2176 0.8963 0.7926
```

=====

(14)
Density functional theory data (PBE) for Nd4Cd2H after structural relaxation.

Computed properties:
Mass density, g cm⁻³: 6.9
Size of the total moment, μB/cell: 0.00
Total DFT energy (no corrections), eV/atom: -3.655

```
Nd4Cd2H
1.0
4.9051 0.0000 0.0000
0.0000 4.9051 0.0000
-2.4526 -2.4526 8.0796
Nd H Cd
4 1 2
Direct
0.8211 0.8211 0.6422
0.0000 0.5000 0.0000
0.5000 0.0000 0.0000
0.1789 0.1789 0.3578
0.0000 0.0000 0.0000
0.3684 0.3684 0.7368
0.6316 0.6316 0.2632
```

=====

(15)
Density functional theory data (PBE) for NdCdH after structural relaxation.

Computed properties:
Mass density, g cm⁻³: 6.7
Size of the total moment, μB/cell: 0.00
Total DFT energy (no corrections), eV/atom: -3.118
Excess energy over the best structure of this formula in the dataset, kJ/mol of formula units: 38.0

```
NdCdH
1.0
3.2797 0.0000 0.0000
0.0000 3.2797 0.0000
-1.6398 -1.6398 5.9086
Cd Nd H
1 1 1
Direct
0.0079 0.0079 0.0159
0.7242 0.7242 0.4483
0.2679 0.2679 0.5358
```

=====

(16)
Density functional theory data (PBE) for Nd2CdH after structural relaxation.

Computed properties:
Mass density, g cm⁻³: 6.9
Size of the total moment, μB/cell: 0.00
Total DFT energy (no corrections), eV/atom: -3.687
Excess energy over the best structure of this formula in the dataset, kJ/mol of formula units: 0.0

```
Nd2CdH
1.0
3.7053 0.0000 0.0000
1.8527 3.2089 0.0000
1.8527 1.0696 8.0847
Cd Nd H
1 2 1
Direct
0.5000 0.5000 0.5000
0.7262 0.7262 0.8213
0.2738 0.2738 0.1787
0.0000 0.0000 0.0000
```

=====

(17)
Density functional theory data (PBE) for Nd3CdH after structural relaxation.

Computed properties:
Mass density, g cm⁻³: 7.2
Size of the total moment, μB/cell: 0.01
Total DFT energy (no corrections), eV/atom: -3.946

```
Nd3CdH
1.0
5.0216 0.0000 0.0000
0.0000 5.0216 0.0000
0.0000 0.0000 5.0216
Nd Cd H
3 1 1
Direct
0.5000 0.0000 0.0000
0.0000 0.0000 0.5000
0.0000 0.5000 0.0000
0.5000 0.5000 0.5000
0.0000 0.0000 0.0000
```

=====

(18)
Density functional theory data (PBE) for NdCdH after structural relaxation.

Computed properties:
Mass density, g cm⁻³: 6.4
Size of the total moment, μB/cell: 0.28
Total DFT energy (no corrections), eV/atom: -3.250
Excess energy over the best structure of this formula in the dataset, kJ/mol of formula units: 0.0

```
NdCdH
1.0
-3.2842 2.0763 0.2083
0.9208 -2.4761 2.8568
2.4914 3.6996 2.4035
H Nd Cd
1 1 1
Direct
0.3333 0.6667 0.5016
0.6667 0.3333 0.4993
0.0000 0.0000 0.9991
```

=====

(19)
Density functional theory data (PBE) for Nd2CdH after structural relaxation.

Computed properties:
Mass density, g cm⁻³: 7.4
Size of the total moment, μB/cell: 0.00
Total DFT energy (no corrections), eV/atom: -3.496
Excess energy over the best structure of this formula in the dataset, kJ/mol of formula units: 73.6

```
Nd2CdH
1.0
3.3754 0.0000 0.0000
0.0000 3.3754 0.0000
0.0000 0.0000 7.9298
Nd H Cd
2 1 1
Direct
0.0000 0.0000 0.7903
0.0000 0.0000 0.2097
0.5000 0.5000 0.0000
0.5000 0.5000 0.5000
```

=====

(20)
Density functional theory data (PBE) for Nd3Cd5H12 after structural relaxation.

Computed properties:
Mass density, g cm⁻³: 6.1
Size of the total moment, μB/cell: 0.00
Total DFT energy (no corrections), eV/atom: -2.995

```
Nd3Cd5H12
1.0
11.2435 0.0000 0.0000
-3.7478 10.6005 0.0000
-3.7478 -5.3003 9.1803
H Nd Cd
48 12 20
Direct
0.7454 0.5958 0.1922
0.0958 0.1922 0.2454
0.6496 0.0532 0.2454
0.4036 0.3504 0.5958
0.3504 0.4036 0.0958
0.0958 0.9036 0.3504
0.4042 0.1496 0.5964
0.5532 0.2454 0.1496
0.7546 0.4468 0.3504
0.3078 0.7546 0.4042
0.4042 0.2546 0.3078
0.5958 0.8504 0.4036
0.2546 0.8504 0.9468
0.8078 0.9042 0.2546
0.5964 0.6496 0.4042
0.4036 0.0532 0.3078
0.6496 0.5964 0.9042
0.1496 0.7454 0.5532
0.5532 0.3078 0.9036
0.8504 0.5958 0.9036
0.6922 0.2454 0.5958
0.1922 0.0964 0.9468
0.4468 0.7546 0.8504
0.9042 0.8078 0.7546
0.3504 0.9468 0.7546
0.2454 0.6922 0.0958
0.7546 0.3078 0.9042
0.9468 0.5964 0.1922
0.0964 0.9042 0.1496
0.9468 0.3504 0.2546
0.5964 0.9468 0.6922
0.9036 0.8078 0.5532
0.2546 0.4042 0.8078
0.0532 0.6496 0.7454
0.1922 0.0958 0.7454
0.5958 0.7454 0.6922
0.0964 0.1922 0.4468
0.4468 0.6922 0.0964
0.9036 0.0958 0.8504
0.8504 0.2546 0.4468
0.6922 0.4468 0.5964
0.8078 0.9036 0.0532
0.7454 0.1496 0.0532
0.9042 0.0964 0.6496
0.2454 0.5532 0.6496
0.3078 0.5532 0.4036
0.1496 0.4042 0.0964
0.0532 0.4036 0.8078
0.8750 0.7500 0.1250
0.3750 0.7500 0.6250
0.7500 0.3750 0.1250
0.8750 0.1250 0.2500
0.2500 0.6250 0.8750
0.3750 0.6250 0.2500
0.2500 0.1250 0.3750
0.1250 0.2500 0.8750
0.6250 0.2500 0.3750
0.7500 0.8750 0.6250
0.1250 0.8750 0.7500
0.6250 0.3750 0.7500
0.0000 0.5000 0.0000
0.3750 0.1250 0.7500
0.0000 0.0000 0.5000
0.6250 0.7500 0.8750
0.2500 0.3750 0.6250
0.2500 0.8750 0.1250
0.7500 0.1250 0.8750
0.6250 0.8750 0.2500
0.8750 0.2500 0.6250
0.0000 0.5000 0.5000
0.1250 0.3750 0.2500
0.5000 0.0000 0.0000
0.1250 0.7500 0.3750
0.8750 0.6250 0.7500
0.5000 0.5000 0.5000
0.5000 0.5000 0.0000
0.5000 0.0000 0.5000
0.0000 0.0000 0.0000
0.3750 0.2500 0.1250
0.7500 0.6250 0.3750
```